{"formula": "OsPb", "functional": "meta-GGA SCAN", "state": "PBEsol geometry", "total_magnetization_mub_per_atom": 0.219, "density_g_cm3": 17.572, "dos_at_fermi_per_ev_cell": 3.7, "formation_enthalpy_0k_ev_per_atom": 1.42, "lattice": [[-2.159, 2.159, 4.030], [2.159, -2.159, 4.030], [2.159, 2.159, -4.030]], "species": ["Os", "Os", "Pb", "Pb"], "frac_coords": [[0.375, 0.625, 0.750], [0.625, 0.375, 0.250], [0.125, 0.875, 0.250], [0.875, 0.125, 0.750]]}